{"formula": "Nd2Sm2Er2Mg", "functional": "PBE-GGA", "state": "relaxed", "spacegroup": "No. 12", "e_tot_ev_per_atom": -4.161, "delta_e_f_ev_per_atom": 0.081, "lattice_angstrom": [[-2.5437, 2.6911, -0.0796], [-2.8043, -5.1221, 2.6245], [6.8116, 6.6377, 6.7342]], "species": ["Er", "Er", "Sm", "Sm", "Nd", "Nd", "Mg"], "fractional_positions": [[0.7426, 0.4852, 0.6217], [0.2574, 0.5148, 0.3783], [0.6809, 0.3618, 0.0889], [0.3191, 0.6382, 0.9111], [0.4750, 0.9501, 0.2587], [0.5250, 0.0499, 0.7413], [0.0000, 0.0000, 0.5000]]}

---

{"formula": "Ca2TlTc", "functional": "PBE-GGA", "state": "relaxed", "spacegroup": "No. 122", "e_tot_ev_per_atom": -3.458, "polymorph_energy_mev_per_atom": 430, "delta_e_f_ev_per_atom": 0.726, "lattice_angstrom": [[-3.8747, -0.4427, -2.1093], [-1.5278, -2.4964, 3.3305], [-6.3046, 7.1525, 5.4204]], "species": ["Tc", "Tc", "Tl", "Tl", "Ca", "Ca", "Ca", "Ca"], "fractional_positions": [[0.2500, 0.7500, 0.5000], [0.5000, 0.5000, 0.0000], [0.0000, 0.0000, 0.0000], [0.7500, 0.2500, 0.5000], [0.8750, 0.8604, 0.7500], [0.6104, 0.1250, 0.2500], [0.1396, 0.6250, 0.2500], [0.3750, 0.3896, 0.7500]]}

---

{"formula": "AcInSe2O8", "functional": "PBE-GGA", "state": "relaxed", "spacegroup": "No. 164", "e_tot_ev_per_atom": -5.758, "e_form_raw_kj_per_mol_fu": -1506.8, "lattice_angstrom": [[5.8092, 0.0000, 0.0000], [-2.9046, 5.0309, 0.0000], [0.0000, 0.0000, 7.2987]], "species": ["O", "O", "O", "O", "O", "O", "O", "O", "Se", "Se", "In", "Ac"], "fractional_positions": [[0.8461, 0.6922, 0.2102], [0.8461, 0.1539, 0.2102], [0.6667, 0.3333, 0.4795], [0.3078, 0.1539, 0.2102], [0.1539, 0.3078, 0.7898], [0.3333, 0.6667, 0.5205], [0.1539, 0.8461, 0.7898], [0.6922, 0.8461, 0.7898], [0.3333, 0.6667, 0.7509], [0.6667, 0.3333, 0.2491], [0.0000, 0.0000, 0.0000], [0.0000, 0.0000, 0.5000]]}